[1]
First-principles (meta-GGA SCAN) data for BOsOF2 at its PBEsol-relaxed geometry, as listed in Alexandria via LeMat-Bulk.

extended XYZ file:
```
5
Lattice="-2.1637 -1.2168 -2.7498 3.3313 -0.2629 -2.5049 0.6276 -3.9357 1.2477" Properties=species:S:1:pos:R:3 pbc="T T T"
B 0.8976 -2.7077 -2.0035
Os 0.0000 0.0000 0.0000
O -1.0819 -0.6084 -1.3749
F 0.3138 -1.9679 0.6239
F 1.6656 -0.1314 -1.2524
```

Results
Raw formation energy ... 0.1084 eV/atom
DFT total energy ... -92.1 eV for the cell shown

[2]
First-principles (meta-GGA SCAN) data for TaTl2Cu at its PBEsol-relaxed geometry, as listed in Alexandria via LeMat-Bulk.

extended XYZ file:
```
4
Lattice="-1.5297 -0.0522 2.6035 0.8330 -4.2596 0.4040 5.2010 1.2447 2.4002" Properties=species:S:1:pos:R:3 pbc="T T T"
Cu -0.3484 -2.1559 1.5038
Ta 3.0170 -1.5074 1.4021
Tl 2.9650 0.9070 3.4490
Tl 0.7062 0.2856 1.5546
```

Results
DFT total energy ... -224.1 eV for the cell shown
Calculated formation energy ... 2.45 eV/f.u.
Offset from the most stable computed form ... 0.068 eV/atom

> DFT total energy of number 2 (TaTl2Cu)?

-224.1 eV for the cell shown

> Which of these has the lowest DFT total energy?

TaTl2Cu

> Which value of DFT total energy does entry 2 give?

-224.1 eV for the cell shown

> Number 2 is which compound?

TaTl2Cu